Entry from the Alexandria database: a relaxed structure of BeS2N2 (PBE-GGA).

Raw formation energy, kJ/mol of formula units: 570
Energy above the lowest structure with this stoichiometry, meV per atom: 0
N(E_F), states/eV per cell: 3.1
V, Å³ per atom: 16.279
SG: No. 123

Structure (POSCAR):
```
BeS2N2
1.0
3.2681 0.0000 0.0000
0.0000 3.2681 0.0000
0.0000 0.0000 7.6208
N Be S
2 1 2
Direct
0.0000 0.5000 0.0000
0.5000 0.0000 0.0000
0.0000 0.0000 0.0000
0.5000 0.5000 0.5000
0.0000 0.0000 0.5000
```